A relaxed structure of Ho3B7Ru. Source: the Alexandria database, functional PBE-GGA.

Cell lengths 3.506, 8.028, 9.300 Å; angles 90.00, 90.00, 102.61 degrees
Positions (direct):
Ru  0.054  0.108  0.750
Ho  0.755  0.511  0.250
B  0.368  0.736  0.349
Ho  0.894  0.788  0.940
B  0.727  0.455  0.966
B  0.632  0.264  0.651
B  0.479  0.959  0.096
B  0.521  0.041  0.596
B  0.273  0.545  0.034
Ho  0.106  0.212  0.060
B  0.543  0.086  0.250
Ho  0.894  0.788  0.560
B  0.457  0.914  0.750
Ho  0.106  0.212  0.440
B  0.727  0.455  0.534
B  0.368  0.736  0.151
Ho  0.245  0.489  0.750
B  0.479  0.959  0.404
B  0.521  0.041  0.904
B  0.273  0.545  0.466
B  0.632  0.264  0.849
Ru  0.946  0.892  0.250

Values from the calculation:
calculated total energy = -6.997 eV per atom
total moment = 0.0 μB per formula unit
V = 11.61 Å³/atom



A relaxed structure of Ca4P2Se. Source: the Alexandria database, functional PBE-GGA.

Cell lengths 8.527, 8.527, 8.527 Å; angles 90.29, 119.83, 119.83 degrees
Positions (direct):
Ca  0.220  0.611  0.831
Ca  0.720  0.139  0.859
Se  0.500  0.750  0.250
Ca  0.280  0.141  0.861
P  0.750  0.375  0.625
Se  0.000  0.000  0.000
Ca  0.280  0.139  0.419
Ca  0.780  0.611  0.391
Ca  0.720  0.581  0.861
P  0.750  0.375  0.125
Ca  0.780  0.169  0.389
P  0.250  0.375  0.625
Ca  0.220  0.609  0.389
P  0.250  0.875  0.625

Values from the calculation:
raw formation energy = -1329 meV/atom
calculated total energy = -4.516 eV per atom
total moment = 0.0 μB per formula unit
V = 31.39 Å³/atom



A relaxed structure of CaPr7Nd12. Source: the Alexandria database, functional PBE-GGA.

Cell lengths 10.183, 10.183, 10.183 Å; angles 109.47, 109.47, 109.47 degrees
Positions (direct):
Nd  0.254  0.509  0.254
Nd  0.000  0.254  0.746
Nd  0.746  0.000  0.254
Ca  0.000  0.000  0.000
Nd  0.746  0.746  0.491
Pr  0.500  0.000  0.000
Nd  0.254  0.746  0.000
Pr  0.500  0.000  0.500
Nd  0.000  0.746  0.254
Nd  0.746  0.254  0.000
Pr  0.000  0.500  0.500
Nd  0.254  0.000  0.746
Pr  0.500  0.500  0.500
Pr  0.000  0.000  0.500
Nd  0.254  0.254  0.509
Nd  0.491  0.746  0.746
Nd  0.509  0.254  0.254
Nd  0.746  0.491  0.746
Pr  0.500  0.500  0.000
Pr  0.000  0.500  0.000

Values from the calculation:
calculated total energy = -4.084 eV per atom
total moment = 0.0 μB per formula unit
V = 40.65 Å³/atom



A relaxed structure of Sr2CaSn6. Source: the Alexandria database, functional PBE-GGA.

Cell lengths 6.608, 6.938, 7.094 Å; angles 119.28, 95.78, 90.00 degrees
Positions (direct):
Sr  0.168  0.340  0.679
Sn  0.682  0.172  0.344
Sn  0.658  0.608  0.786
Sr  0.832  0.660  0.321
Ca  0.000  0.000  0.000
Sn  0.342  0.392  0.214
Sn  0.658  0.178  0.786
Sn  0.342  0.822  0.214
Sn  0.318  0.828  0.656

Values from the calculation:
calculated total energy = -3.696 eV per atom
total moment = 0.0 μB per formula unit
V = 31.31 Å³/atom



A relaxed structure of Na3GaBi. Source: the Alexandria database, functional PBE-GGA.

Cell lengths 5.484, 5.484, 5.484 Å; angles 90.00, 90.00, 90.00 degrees
Positions (direct):
Bi  0.500  0.500  0.500
Na  0.000  0.000  0.500
Na  0.000  0.500  0.000
Na  0.500  0.000  0.000
Ga  0.000  0.000  0.000

Values from the calculation:
calculated total energy = -1.934 eV per atom
total moment = 0.0 μB per formula unit
V = 32.99 Å³/atom



A relaxed structure of MnCu2Sn. Source: the Alexandria database, functional PBE-GGA.

Cell lengths 3.791, 3.791, 9.630 Å; angles 78.65, 78.65, 90.00 degrees
Site moments in Bohr magnetons follow the coordinates.
Positions (direct):
Mn  0.500  0.500  0.000  3.32
Cu  0.375  0.391  0.750  0.04
Cu  0.609  0.125  0.250  0.04
Sn  0.750  0.250  0.500  -0.11
Sn  0.000  0.000  0.000  -0.11
Cu  0.141  0.625  0.250  0.03
Mn  0.250  0.750  0.500  3.30
Cu  0.875  0.859  0.750  0.04

Values from the calculation:
calculated total energy = -4.994 eV per atom
total moment = 3.4 μB per formula unit
V = 16.61 Å³/atom



A relaxed structure of LaAg3Se3. Source: the Alexandria database, functional PBE-GGA.

Cell lengths 7.643, 7.643, 8.331 Å; angles 62.70, 62.70, 60.00 degrees
Positions (direct):
Ag  0.782  0.123  0.625
Se  0.924  0.255  0.231
Ag  0.470  0.782  0.625
La  0.334  0.334  0.999
Se  0.255  0.591  0.231
Se  0.076  0.745  0.769
Se  0.591  0.924  0.231
La  0.666  0.666  0.001
Ag  0.530  0.218  0.375
Ag  0.123  0.470  0.625
Ag  0.218  0.877  0.375
Se  0.409  0.076  0.769
Se  0.745  0.409  0.769
Ag  0.877  0.530  0.375

Values from the calculation:
raw formation energy = -785 meV/atom
calculated total energy = -4.204 eV per atom
total moment = 0.0 μB per formula unit
V = 25.53 Å³/atom



A relaxed structure of HfZr2TlO. Source: the Alexandria database, functional PBE-GGA.

Cell lengths 4.680, 4.680, 4.233 Å; angles 90.00, 90.00, 90.00 degrees
Positions (direct):
Zr  0.500  0.000  0.000
Zr  0.000  0.500  0.000
Hf  0.000  0.000  0.500
Tl  0.500  0.500  0.500
O  0.000  0.000  0.000

Values from the calculation:
raw formation energy = -972 meV/atom
calculated total energy = -7.847 eV per atom
total moment = 0.0 μB per formula unit
V = 18.55 Å³/atom



A relaxed structure of CdAgAs2. Source: the Alexandria database, functional PBE-GGA.

Cell lengths 3.621, 2.865, 9.380 Å; angles 62.41, 90.00, 90.00 degrees
Positions (direct):
Cd  0.000  0.541  0.519
Ag  0.500  0.702  0.743
As  0.500  0.965  0.226
As  0.000  0.291  0.012

Values from the calculation:
calculated total energy = -3.154 eV per atom
total moment = 0.0 μB per formula unit
V = 21.56 Å³/atom



A relaxed structure of ZrNiCl2. Source: the Alexandria database, functional PBE-GGA.

Cell lengths 5.766, 5.766, 6.396 Å; angles 63.21, 63.21, 90.00 degrees
Site moments in Bohr magnetons follow the coordinates.
Positions (direct):
Cl  0.875  0.827  0.750  0.02
Cl  0.375  0.423  0.750  0.01
Cl  0.173  0.625  0.250  0.02
Cl  0.577  0.125  0.250  0.01
Ni  0.250  0.750  0.500  0.06
Zr  0.750  0.250  0.500  0.79
Ni  0.500  0.500  0.000  0.06
Zr  0.000  0.000  0.000  0.79

Values from the calculation:
raw formation energy = -174 meV/atom
calculated total energy = -4.680 eV per atom
total moment = 1.5 μB per formula unit
V = 20.48 Å³/atom



A relaxed structure of Cs2RbPuBr6. Source: the Alexandria database, functional PBE-GGA.

Cell lengths 8.367, 8.876, 12.054 Å; angles 90.00, 90.03, 90.00 degrees
Site moments in Bohr magnetons follow the coordinates.
Positions (direct):
Br  0.401  0.963  0.728  0.02
Pu  0.500  0.000  0.500  -5.06
Br  0.599  0.037  0.272  0.02
Br  0.901  0.537  0.228  0.02
Br  0.777  0.817  0.549  0.02
Br  0.674  0.273  0.554  0.02
Br  0.277  0.683  0.049  0.02
Cs  0.977  0.066  0.750  0.00
Br  0.723  0.317  0.951  0.02
Br  0.826  0.773  0.946  0.02
Br  0.174  0.227  0.054  0.02
Cs  0.477  0.434  0.250  0.00
Cs  0.523  0.566  0.750  0.00
Cs  0.023  0.934  0.250  0.00
Rb  0.000  0.500  0.500  0.00
Pu  0.000  0.500  0.000  -5.06
Br  0.223  0.183  0.451  0.02
Br  0.099  0.463  0.772  0.02
Rb  0.500  0.000  0.000  0.00
Br  0.326  0.727  0.446  0.02

Values from the calculation:
raw formation energy = -1720 meV/atom
calculated total energy = -4.424 eV per atom
total moment = 5.0 μB per formula unit
V = 44.76 Å³/atom



A relaxed structure of Sr2Zn2Ir. Source: the Alexandria database, functional PBE-GGA.

Cell lengths 7.013, 7.013, 4.890 Å; angles 90.00, 90.00, 90.00 degrees
Positions (direct):
Sr  0.315  0.185  0.500
Sr  0.685  0.815  0.500
Zn  0.136  0.364  0.000
Zn  0.364  0.864  0.000
Ir  0.000  0.000  0.000
Zn  0.636  0.136  0.000
Sr  0.185  0.685  0.500
Sr  0.815  0.315  0.500
Ir  0.500  0.500  0.000
Zn  0.864  0.636  0.000

Values from the calculation:
calculated total energy = -3.022 eV per atom
total moment = 0.0 μB per formula unit
V = 24.05 Å³/atom